a | Computed, not measured: an optimized crystal structure of AgPtAu at the GGA-PBEsol level of DFT.

As for the space group: No. 156.

abc: 2.798 2.798 7.066
angles: 90.00 90.00 120.00
Sites, in units of the cell vectors:
1 Ag 0.000 0.000 0.000
2 Pt 0.667 0.333 0.328
3 Au 0.333 0.667 0.664


b | Computed, not measured: an optimized crystal structure of AgPtAu at the GGA-PBEsol level of DFT.

As for the space group: No. 42.

abc: 7.584 7.339 2.765
angles: 84.35 74.38 21.27
Sites, in units of the cell vectors:
1 Ag 0.000 0.000 0.000
2 Pt 0.336 0.336 0.664
3 Au 0.668 0.668 0.332


Tell me which of them is the least stable. Sure, it is b.


a | Computed, not measured: an optimized crystal structure of ReAg2Au at the GGA-PBEsol level of DFT.

As for the space group: No. 123.

abc: 2.700 2.700 8.741
angles: 90.00 90.00 90.00
Sites, in units of the cell vectors:
1 Re 0.000 0.000 0.000
2 Ag 0.500 0.500 0.246
3 Ag 0.500 0.500 0.754
4 Au 0.000 0.000 0.500


b | Computed, not measured: an optimized crystal structure of ReAg2Au at the GGA-PBEsol level of DFT.

As for the space group: No. 47.

abc: 2.697 4.876 4.937
angles: 90.00 90.00 90.00
Sites, in units of the cell vectors:
1 Re 0.000 0.000 0.000
2 Ag 0.000 0.500 0.500
3 Ag 0.500 0.000 0.500
4 Au 0.500 0.500 0.000


Tell me which of them is the least stable. Sure, it is b.


a | Computed, not measured: an optimized crystal structure of AgRuAu at the GGA-PBEsol level of DFT.

As for the space group: No. 42.

abc: 7.578 7.347 2.721
angles: 84.32 74.75 20.93
Sites, in units of the cell vectors:
1 Ag 0.000 0.000 0.000
2 Ru 0.336 0.336 0.664
3 Au 0.671 0.671 0.329


b | Computed, not measured: an optimized crystal structure of AgRuAu at the GGA-PBEsol level of DFT.

As for the space group: No. 216.

abc: 4.308 4.308 4.308
angles: 60.00 60.00 60.00
Sites, in units of the cell vectors:
1 Ag 0.000 0.000 0.000
2 Ru 0.500 0.500 0.500
3 Au 0.750 0.750 0.750


c | Computed, not measured: an optimized crystal structure of AgRuAu at the GGA-PBEsol level of DFT.

As for the space group: No. 44.

abc: 4.892 4.892 4.892
angles: 147.83 130.70 60.10
Sites, in units of the cell vectors:
1 Ag 0.000 0.000 0.000
2 Ru 0.334 0.334 0.000
3 Au 0.672 0.672 0.000


Tell me which of them is the least stable. Sure, it is b.


a | Computed, not measured: an optimized crystal structure of AgSb2Au at the GGA-PBEsol level of DFT.

As for the space group: No. 225.

abc: 4.944 4.944 4.944
angles: 60.00 60.00 60.00
Sites, in units of the cell vectors:
1 Ag 0.000 0.000 0.000
2 Sb 0.250 0.250 0.250
3 Sb 0.750 0.750 0.750
4 Au 0.500 0.500 0.500


b | Computed, not measured: an optimized crystal structure of AgSb2Au at the GGA-PBEsol level of DFT.

As for the space group: No. 216.

abc: 4.982 4.982 4.982
angles: 60.00 60.00 60.00
Sites, in units of the cell vectors:
1 Ag 0.000 0.000 0.000
2 Sb 0.500 0.500 0.500
3 Sb 0.750 0.750 0.750
4 Au 0.250 0.250 0.250


Tell me which of them is the least stable. Sure, it is b.